(1)
Material: KCdSb2C
Method: DFT, PBE-GGA
State: relaxed

```
data_KCdSb2C
_symmetry_space_group_name_H-M 'P 1'
_symmetry_Int_Tables_number 1
_symmetry_space_group_name_Hall 'P 1'
_cell_length_a 4.799
_cell_length_b 5.643
_cell_length_c 4.799
_cell_angle_alpha 90.00
_cell_angle_beta 90.00
_cell_angle_gamma 90.00
loop_
_atom_site_label
_atom_site_type_symbol
_atom_site_fract_x
_atom_site_fract_y
_atom_site_fract_z
Sb1 Sb 0.000 0.000 0.500
Sb2 Sb 0.500 0.000 0.000
K1 K 0.000 0.500 0.000
C1 C 0.000 0.000 0.000
Cd1 Cd 0.500 0.500 0.500
```

## Properties
E_form (uncorrected) in eV per atom: 0.7516
SG: P4/mmm
Final energy in eV/atom: -3.14

(2)
Material: V2RhWCl
Method: DFT, PBE-GGA
State: relaxed

```
data_V2RhWCl
_symmetry_space_group_name_H-M 'P 1'
_symmetry_Int_Tables_number 1
_symmetry_space_group_name_Hall 'P 1'
_cell_length_a 4.636
_cell_length_b 4.785
_cell_length_c 4.636
_cell_angle_alpha 90.00
_cell_angle_beta 90.00
_cell_angle_gamma 90.00
loop_
_atom_site_label
_atom_site_type_symbol
_atom_site_fract_x
_atom_site_fract_y
_atom_site_fract_z
Cl1 Cl 0.500 0.500 0.500
Rh1 Rh 0.000 0.000 0.000
W1 W 0.000 0.500 0.000
V1 V 0.000 0.000 0.500
V2 V 0.500 0.000 0.000
```

## Properties
E_form (uncorrected) in eV per atom: 1.5172
SG: P4/mmm
Final energy in eV/atom: -6.56

Magnetization values (in μB per formula unit) by entry order: 0.0, 0.0.